#a
Density functional theory data (PBE) for a relaxed structure of Ho3Th5Sc4.

Values from the calculation:
Crystal system: triclinic
Theoretical density (g/cm3): 8.39

a = 6.2234 Å, b = 4.9913 Å, c = 13.2726 Å
α = 88.56°, β = 100.09°, γ = 64.18°
Fractional positions:
Ho (0.6045, 0.6790, 0.2287)
Ho (0.0000, 0.5000, 0.5000)
Ho (0.3955, 0.3210, 0.7713)
Th (0.3221, 0.3355, 0.0413)
Th (0.5000, 0.5000, 0.5000)
Th (0.0397, 0.9924, 0.8732)
Th (0.9603, 0.0076, 0.1268)
Th (0.6779, 0.6645, 0.9587)
Sc (0.7693, 0.6463, 0.7157)
Sc (0.0866, 0.9687, 0.6387)
Sc (0.9134, 0.0313, 0.3614)
Sc (0.2307, 0.3537, 0.2843)

#b
Density functional theory data (PBE) for a relaxed structure of Ho3Th5Sc4.

Values from the calculation:
Crystal system: triclinic
Theoretical density (g/cm3): 8.48

a = 6.0214 Å, b = 9.0853 Å, c = 15.1743 Å
α = 151.58°, β = 101.26°, γ = 90.20°
Fractional positions:
Ho (0.7530, 0.3907, 0.5090)
Ho (0.0000, 0.0000, 0.5000)
Ho (0.2470, 0.6093, 0.4910)
Th (0.3755, 0.6600, 0.7577)
Th (0.5000, 0.0000, 0.5000)
Th (0.5310, 0.3727, 0.0301)
Th (0.4690, 0.6273, 0.9699)
Th (0.6245, 0.3400, 0.2423)
Sc (0.8896, 0.1237, 0.7686)
Sc (0.9610, 0.7601, 0.9490)
Sc (0.0390, 0.2399, 0.0510)
Sc (0.1104, 0.8763, 0.2314)

What should be chosen as the least stable of them? Choose #a.

#a
Density functional theory data (PBE) for a relaxed structure of Ho2ThSc4.

Values from the calculation:
Crystal system: orthorhombic
Theoretical density (g/cm3): 6.22

a = 3.4394 Å, b = 7.5938 Å, c = 7.5938 Å
α = 86.80°, β = 90.00°, γ = 90.00°
Fractional positions:
Ho (0.0000, 0.8039, 0.1961)
Ho (0.0000, 0.1961, 0.8039)
Th (0.5000, 0.5000, 0.5000)
Sc (0.0000, 0.7600, 0.7600)
Sc (0.0000, 0.2400, 0.2400)
Sc (0.5000, 0.0000, 0.5000)
Sc (0.5000, 0.5000, 0.0000)

#b
Density functional theory data (PBE) for a relaxed structure of Ho2ThSc4.

Values from the calculation:
Crystal system: orthorhombic
Theoretical density (g/cm3): 6.24

a = 5.2791 Å, b = 3.5634 Å, c = 10.6357 Å
α = 99.64°, β = 90.00°, γ = 90.00°
Fractional positions:
Ho (0.5000, 0.0736, 0.1473)
Ho (0.5000, 0.9264, 0.8527)
Th (0.0000, 0.5000, 0.0000)
Sc (0.5000, 0.6969, 0.3939)
Sc (0.0000, 0.8215, 0.6430)
Sc (0.5000, 0.3031, 0.6061)
Sc (0.0000, 0.1785, 0.3570)

What should be chosen as the least stable of them? Choose #b.

#a
Density functional theory data (PBE) for a relaxed structure of HoThSc3.

Values from the calculation:
Crystal system: monoclinic
Theoretical density (g/cm3): 6.31

a = 3.2405 Å, b = 8.6337 Å, c = 10.6593 Å
α = 73.05°, β = 90.00°, γ = 100.82°
Fractional positions:
Ho (0.1012, 0.2024, 0.9455)
Ho (0.8988, 0.7976, 0.0545)
Th (0.3958, 0.7915, 0.5481)
Th (0.6042, 0.2085, 0.4519)
Sc (0.9926, 0.9852, 0.7349)
Sc (0.0074, 0.0148, 0.2651)
Sc (0.6963, 0.3926, 0.1332)
Sc (0.3037, 0.6074, 0.8668)
Sc (0.8013, 0.6026, 0.3666)
Sc (0.1987, 0.3974, 0.6334)

#b
Density functional theory data (PBE) for a relaxed structure of HoThSc3.

Values from the calculation:
Crystal system: monoclinic
Theoretical density (g/cm3): 6.43

a = 5.3999 Å, b = 5.9574 Å, c = 9.0672 Å
α = 109.73°, β = 90.00°, γ = 90.00°
Fractional positions:
Ho (0.9221, 0.4309, 0.3983)
Ho (0.4221, 0.1473, 0.1869)
Th (0.9221, 0.0242, 0.5951)
Th (0.4221, 0.5541, 0.9902)
Sc (0.4221, 0.3576, 0.5958)
Sc (0.9221, 0.6364, 0.7991)
Sc (0.9221, 0.2207, 0.9895)
Sc (0.9221, 0.8154, 0.1937)
Sc (0.4221, 0.9418, 0.7861)
Sc (0.4221, 0.7628, 0.3915)

What should be chosen as the least stable of them? Choose #a.

#a
Density functional theory data (PBE) for a relaxed structure of HoTh3Sc.

Values from the calculation:
Crystal system: trigonal
Theoretical density (g/cm3): 9.76

a = 6.7565 Å, b = 6.7565 Å, c = 6.7565 Å
α = 90.43°, β = 90.43°, γ = 90.43°
Fractional positions:
Ho (0.1292, 0.1292, 0.1292)
Ho (0.8708, 0.8708, 0.8708)
Th (0.2557, 0.9127, 0.5845)
Th (0.5845, 0.2557, 0.9127)
Th (0.9127, 0.5845, 0.2557)
Th (0.7443, 0.0873, 0.4155)
Th (0.0873, 0.4155, 0.7443)
Th (0.4155, 0.7443, 0.0873)
Sc (0.3784, 0.3784, 0.3784)
Sc (0.6216, 0.6216, 0.6216)

#b
Density functional theory data (PBE) for a relaxed structure of HoTh3Sc.

Values from the calculation:
Crystal system: triclinic
Theoretical density (g/cm3): 9.86

a = 6.0520 Å, b = 9.2410 Å, c = 6.1101 Å
α = 71.35°, β = 99.82°, γ = 77.39°
Fractional positions:
Ho (0.5459, 0.6503, 0.1005)
Ho (0.4541, 0.3497, 0.8995)
Th (0.9492, 0.8538, 0.8965)
Th (0.0508, 0.1462, 0.1035)
Th (0.6574, 0.9484, 0.3044)
Th (0.3426, 0.0516, 0.6956)
Th (0.8557, 0.5498, 0.6966)
Th (0.1443, 0.4502, 0.3034)
Sc (0.2501, 0.7521, 0.5000)
Sc (0.7499, 0.2479, 0.5000)

What should be chosen as the least stable of them? Choose #a.

#a
Density functional theory data (PBE) for a relaxed structure of Ho8Th3Sc2.

Values from the calculation:
Crystal system: monoclinic
Theoretical density (g/cm3): 8.21

a = 6.5008 Å, b = 9.2348 Å, c = 8.5522 Å
α = 122.68°, β = 98.17°, γ = 90.00°
Fractional positions:
Ho (0.8660, 0.5814, 0.1627)
Ho (0.1340, 0.4186, 0.8373)
Ho (0.8074, 0.2132, 0.4263)
Ho (0.1926, 0.7868, 0.5737)
Ho (0.5609, 0.5626, 0.7642)
Ho (0.5609, 0.2016, 0.7642)
Ho (0.4391, 0.7984, 0.2358)
Ho (0.4391, 0.4374, 0.2358)
Th (0.5000, 0.0000, 0.0000)
Th (0.0000, 0.1676, 0.0000)
Th (0.0000, 0.8324, 0.0000)
Sc (0.2996, 0.1934, 0.3868)
Sc (0.7004, 0.8066, 0.6132)

#b
Density functional theory data (PBE) for a relaxed structure of Ho8Th3Sc2.

Values from the calculation:
Crystal system: monoclinic
Theoretical density (g/cm3): 8.64

a = 10.2637 Å, b = 10.2637 Å, c = 6.2725 Å
α = 80.13°, β = 80.13°, γ = 38.52°
Fractional positions:
Ho (0.5657, 0.5657, 0.0837)
Ho (0.4343, 0.4343, 0.9163)
Ho (0.1615, 0.1615, 0.2048)
Ho (0.8385, 0.8385, 0.7952)
Ho (0.0835, 0.5806, 0.3052)
Ho (0.5806, 0.0835, 0.3052)
Ho (0.4194, 0.9165, 0.6948)
Ho (0.9165, 0.4194, 0.6948)
Th (0.0000, 0.0000, 0.0000)
Th (0.7580, 0.2420, 0.5000)
Th (0.2420, 0.7580, 0.5000)
Sc (0.2944, 0.2944, 0.8079)
Sc (0.7056, 0.7056, 0.1921)

What should be chosen as the least stable of them? Choose #a.

#a
Density functional theory data (PBE) for a relaxed structure of Ho5Th2Sc4.

Values from the calculation:
Crystal system: monoclinic
Theoretical density (g/cm3): 7.48

a = 3.4277 Å, b = 8.3763 Å, c = 11.4370 Å
α = 96.78°, β = 90.00°, γ = 90.00°
Fractional positions:
Ho (0.0000, 0.5000, 0.0000)
Ho (0.0000, 0.1591, 0.1339)
Ho (0.0000, 0.8409, 0.8661)
Ho (0.0000, 0.5468, 0.2959)
Ho (0.0000, 0.4532, 0.7041)
Th (0.0000, 0.9624, 0.3615)
Th (0.0000, 0.0376, 0.6385)
Sc (0.5000, 0.1886, 0.8772)
Sc (0.5000, 0.8114, 0.1228)
Sc (0.5000, 0.3053, 0.4612)
Sc (0.5000, 0.6947, 0.5388)

#b
Density functional theory data (PBE) for a relaxed structure of Ho5Th2Sc4.

Values from the calculation:
Crystal system: orthorhombic
Theoretical density (g/cm3): 7.32

a = 3.3804 Å, b = 7.1151 Å, c = 14.3998 Å
α = 104.30°, β = 96.74°, γ = 90.00°
Fractional positions:
Ho (0.8048, 0.0641, 0.6097)
Ho (0.8048, 0.5455, 0.6097)
Ho (0.1952, 0.4545, 0.3903)
Ho (0.1952, 0.9359, 0.3903)
Ho (0.5000, 0.0000, 0.0000)
Th (0.8985, 0.8985, 0.7971)
Th (0.1015, 0.1015, 0.2029)
Sc (0.0000, 0.3282, 0.0000)
Sc (0.5980, 0.5980, 0.1959)
Sc (0.0000, 0.6718, 0.0000)
Sc (0.4020, 0.4020, 0.8041)

What should be chosen as the least stable of them? Choose #b.